# 1
DFT (PBE) results for a geometry-optimized CdCoAg4 structure.

Output
E_tot = -2.7977 eV/atom

Cell: 7.680 7.680 7.680 Å, 90.00 90.00 90.00°
Space group F-43m (No. 216)
Symmetry-distinct sites (fractional):
Cd  0.000  0.000  0.000 [4 per cell]
Co  0.250  0.250  0.250 [4 per cell]
Ag  0.125  0.125  0.625 [16 per cell]

***

# 2
DFT (PBE) results for a geometry-optimized Cd3CoAg structure.

Output
E_tot = -2.0153 eV/atom
offset from the most stable computed form = 0.0 meV per atom

Cell: 4.931 4.931 4.931 Å, 90.00 90.00 90.00°
Space group Pm-3m (No. 221)
Symmetry-distinct sites (fractional):
Cd  0.000  0.000  0.500 [3 per cell]
Co  0.000  0.000  0.000 [1 per cell]
Ag  0.500  0.500  0.500 [1 per cell]

***

# 3
DFT (PBE) results for a geometry-optimized Cd2CoAg2 structure.

Output
E_tot = -2.5539 eV/atom

Cell: 6.854 6.854 4.081 Å, 90.00 90.00 90.00°
Space group P4/mbm (No. 127)
Symmetry-distinct sites (fractional):
Cd  0.167  0.333  0.000 [4 per cell]
Co  0.000  0.000  0.500 [2 per cell]
Ag  0.142  0.642  0.500 [4 per cell]

***

# 4
DFT (PBE) results for a geometry-optimized Cd2Co2Ag structure.

Output
E_tot = -3.4759 eV/atom
offset from the most stable computed form = 0.0 meV per atom

Cell: 3.282 3.282 16.316 Å, 90.00 90.00 90.00°
Space group I4/mmm (No. 139)
Symmetry-distinct sites (fractional):
Cd  0.000  0.000  0.113 [4 per cell]
Co  0.000  0.500  0.250 [4 per cell]
Ag  0.000  0.000  0.500 [2 per cell]